# GdDyGa2

Crystalline GdDyGa2 at its relaxed geometry (PBE, OQMD).

Unit cell a=4.073 b=4.359 c=10.926 alpha=90.00 beta=90.00 gamma=90.00
Sites, in units of the cell vectors:
Gd 0.000 0.000 0.000
Gd 0.000 0.500 0.500
Dy 0.500 0.000 0.279
Dy 0.500 0.500 0.779
Ga 0.000 0.000 0.716
Ga 0.000 0.500 0.216
Ga 0.500 0.000 0.563
Ga 0.500 0.500 0.063

**Crystal system**: orthorhombic
**Total moment**: 0.33 μB per cell
**Electronic total energy**: -0.1637 hartree per atom

# HfMoAu

Crystalline HfMoAu at its relaxed geometry (PBE, OQMD).

Unit cell a=6.328 b=6.328 c=6.328 alpha=90.00 beta=90.00 gamma=90.00
Sites, in units of the cell vectors:
Hf 0.000 0.000 0.000
Hf 0.000 0.500 0.500
Hf 0.500 0.000 0.500
Hf 0.500 0.500 0.000
Mo 0.000 0.000 0.500
Mo 0.000 0.500 0.000
Mo 0.500 0.000 0.000
Mo 0.500 0.500 0.500
Au 0.250 0.250 0.250
Au 0.250 0.750 0.750
Au 0.750 0.250 0.750
Au 0.750 0.750 0.250

**Crystal system**: cubic
**Total moment**: 4.10 μB per cell
**ΔH_f (0 K)**: 566 meV/atom
**Electronic total energy**: -0.2740 hartree per atom
**Energy relative to the lowest polymorph listed for this composition**: 0.000 eV/f.u.

# BaMgPa

Crystalline BaMgPa at its relaxed geometry (PBE, OQMD).

Unit cell a=7.787 b=7.787 c=7.787 alpha=90.00 beta=90.00 gamma=90.00
Sites, in units of the cell vectors:
Ba 0.000 0.000 0.000
Ba 0.000 0.500 0.500
Ba 0.500 0.000 0.500
Ba 0.500 0.500 0.000
Mg 0.250 0.250 0.250
Mg 0.250 0.750 0.750
Mg 0.750 0.250 0.750
Mg 0.750 0.750 0.250
Pa 0.000 0.000 0.500
Pa 0.000 0.500 0.000
Pa 0.500 0.000 0.000
Pa 0.500 0.500 0.500

**Crystal system**: cubic
**Total moment**: 12.46 μB per cell
**Electronic total energy**: -0.1169 hartree per atom
**Energy relative to the lowest polymorph listed for this composition**: 0.000 eV/f.u.